Entry 1:
! ZrReMo, optimized geometry, DFT PBE; values from VASP
&SYSTEM
  ibrav = 0, nat = 3, ntyp = 3
/
ATOMIC_SPECIES
Mo 95.94 Mo.upf
Re 186.21 Re.upf
Zr 91.22 Zr.upf
CELL_PARAMETERS angstrom
-3.244 3.658 2.533
-3.877 -0.659 3.854
5.133 -1.232 -1.565
ATOMIC_POSITIONS angstrom
Mo -7.044 2.967 6.318
Re -2.442 1.028 2.190
Zr -4.756 2.003 4.266
! Formation enthalpy at 0 K, meV per atom: -138
! E_tot, eV/atom: -10.747

Entry 2:
! Be2Fe2C, optimized geometry, DFT PBE; values from VASP
&SYSTEM
  ibrav = 0, nat = 10, ntyp = 3
/
ATOMIC_SPECIES
C 12.01 C.upf
Fe 55.84 Fe.upf
Be 9.01 Be.upf
CELL_PARAMETERS angstrom
4.881 0.000 0.000
0.000 4.881 0.000
0.000 0.000 3.377
ATOMIC_POSITIONS angstrom
C 0.000 0.000 0.000
Fe 0.851 3.292 1.688
Fe 1.590 0.851 1.688
Be 0.704 1.737 0.000
Be 4.177 3.145 0.000
Fe 4.030 1.590 1.688
C 2.441 2.441 0.000
Fe 3.292 4.030 1.688
Be 1.737 4.177 0.000
Be 3.145 0.704 0.000
! Formation enthalpy at 0 K, meV per atom: 484
! E_tot, eV/atom: -6.236